No. 1
Material: ScHI2
Method: DFT, PBE-GGA
State: optimized geometry

a b c (Å): 3.8175 3.8175 24.0913
angles (deg): 90.00 90.00 120.00
Positions (direct):
1 Sc 0.0000 0.0000 0.0000
2 Sc 0.3333 0.6667 0.6667
3 Sc 0.6667 0.3333 0.3333
4 H 0.0000 0.0000 0.6667
5 H 0.3333 0.6667 0.3334
6 H 0.6667 0.3333 0.0000
7 I 0.0000 0.0000 0.2496
8 I 0.0000 0.0000 0.4171
9 I 0.3333 0.6667 0.0837
10 I 0.3333 0.6667 0.9163
11 I 0.6667 0.3333 0.5830
12 I 0.6667 0.3333 0.7504

Properties
magnetic moment = 0.00 μB per formula unit
final energy = -4.165 eV/atom

No. 2
Material: Sc2HI3
Method: DFT, PBE-GGA
State: optimized geometry

a b c (Å): 9.9296 9.9296 10.6405
angles (deg): 111.61 111.61 22.23
Positions (direct):
1 Sc 0.0693 0.0693 0.2207
2 Sc 0.4216 0.4216 0.0361
3 Sc 0.5784 0.5784 0.9639
4 Sc 0.9307 0.9307 0.7793
5 H 0.4619 0.4619 0.8787
6 H 0.5381 0.5381 0.1213
7 I 0.0724 0.0724 0.7484
8 I 0.1923 0.1923 0.1289
9 I 0.3633 0.3633 0.5654
10 I 0.6367 0.6367 0.4346
11 I 0.8077 0.8077 0.8711
12 I 0.9276 0.9276 0.2516

Properties
magnetic moment = 0.87 μB per formula unit
final energy = -4.425 eV/atom

Values of DOS at the Fermi energy, in order: 0.0 3.4, all in states/eV/f.u..